[1]
Here is Tb6Y4Ho after structural relaxation from the Alexandria database. Energies are from PBE.

Calculated values
Raw total energy, eV/atom: -5.1637
Mass density, Mg/m³: 6.9
Crystal system: orthorhombic
Magnetization, μB/f.u.: 0.0
DOS at the Fermi energy, states/eV per atom: 1.868

abc: 5.7294 9.6569 25.6256
angles: 90.00 90.00 90.00
Space group Cmcm (No. 63)
One atom of each set of equivalent atoms:
Tb  0.0000  0.0000  0.0000
Tb  0.0000  0.0305  0.2500
Tb  0.0000  0.3050  0.6045
Tb  0.0000  0.3639  0.1826
Y  0.0000  0.0342  0.1221
Y  0.0000  0.3458  0.0431
Ho  0.0000  0.3046  0.7500



[2]
Here is Tb2Y5Ho2 after structural relaxation from the Alexandria database. Energies are from PBE.

Calculated values
Mass density, Mg/m³: 6.3
Crystal system: triclinic
Magnetization, μB/f.u.: 0.0
Offset from the most stable computed form, eV/atom: 0.0000
DOS at the Fermi energy, states/eV per atom: 1.357

abc: 3.5520 9.4152 9.4185
angles: 69.10 79.16 79.25
Space group P-1 (No. 2)
One atom of each set of equivalent atoms:
Tb  0.0556  0.1673  0.2222
Y  0.2782  0.8322  0.1112
Y  0.3885  0.1675  0.5550
Y  0.5000  0.5000  0.0000
Ho  0.1674  0.5008  0.6650



[3]
Here is TbY4Ho2 after structural relaxation from the Alexandria database. Energies are from PBE.

Calculated values
Mass density, Mg/m³: 6.2
Crystal system: triclinic
Magnetization, μB/f.u.: 0.0
Offset from the most stable computed form, eV/atom: 0.1339
DOS at the Fermi energy, states/eV per atom: 1.411

abc: 6.3625 8.5498 9.5708
angles: 86.26 70.64 68.21
Space group P1 (No. 1)
One atom of each set of equivalent atoms:
Tb  0.0000  0.0000  0.0000
Tb  0.4577  0.1597  0.9233
Y  0.4250  0.9187  0.6447
Y  0.4293  0.3450  0.6293
Y  0.4483  0.2394  0.2779
Y  0.4802  0.8443  0.1296
Y  0.8624  0.8139  0.2930
Y  0.8919  0.4194  0.1466
Y  0.9128  0.3146  0.7931
Y  0.9170  0.7402  0.7758
Ho  0.3417  0.6578  0.4217
Ho  0.3598  0.5800  0.9608
Ho  0.8819  0.5004  0.5002
Ho  0.9807  0.0789  0.4614



[4]
Here is Tb2YHo9 after structural relaxation from the Alexandria database. Energies are from PBE.

Calculated values
Mass density, Mg/m³: 8.3
Crystal system: hexagonal
Magnetization, μB/f.u.: 0.0
Offset from the most stable computed form, eV/atom: 0.0311
DOS at the Fermi energy, states/eV per atom: 1.645

abc: 11.1680 11.1680 3.4877
angles: 90.00 90.00 120.00
Space group P6/mmm (No. 191)
One atom of each set of equivalent atoms:
Tb  0.3333  0.6667  0.0000
Y  0.0000  0.0000  0.0000
Ho  0.0000  0.5000  0.0000
Ho  0.1762  0.3524  0.5000



[5]
Here is Tb8Y3Ho3 after structural relaxation from the Alexandria database. Energies are from PBE.

Calculated values
Raw total energy, eV/atom: -4.9076
Mass density, Mg/m³: 7.5
Crystal system: orthorhombic
Magnetization, μB/f.u.: 0.0
DOS at the Fermi energy, states/eV per atom: 1.424

abc: 5.6069 10.7868 14.9196
angles: 90.00 90.00 90.00
Space group Immm (No. 71)
One atom of each set of equivalent atoms:
Tb  0.0000  0.1595  0.1036
Tb  0.0000  0.3414  0.2779
Y  0.0000  0.0000  0.3195
Y  0.0000  0.5000  0.0000
Ho  0.0000  0.2037  0.5000
Ho  0.0000  0.5000  0.5000



[6]
Here is TbY2Ho5 after structural relaxation from the Alexandria database. Energies are from PBE.

Calculated values
Mass density, Mg/m³: 7.6
Crystal system: triclinic
Magnetization, μB/f.u.: 0.0
Offset from the most stable computed form, eV/atom: 0.0000
DOS at the Fermi energy, states/eV per atom: 1.912

abc: 6.6846 9.1660 9.1692
angles: 86.31 72.40 72.45
Space group P-1 (No. 2)
One atom of each set of equivalent atoms:
Tb  0.2464  0.2091  0.2923
Y  0.0003  0.4159  0.8333
Y  0.4987  0.8336  0.4161
Ho  0.9997  0.0834  0.6678
Ho  0.2501  0.0405  0.9593
Ho  0.2513  0.5410  0.4577
Ho  0.2520  0.7088  0.7914
Ho  0.4989  0.3335  0.9179